[1]
Here is crystalline TaTi2CdN at its relaxed geometry from Alexandria. Energies are from GGA-PBE.

Cell lengths 4.230, 4.230, 4.223 Å; angles 90.00, 90.00, 90.00 degrees
Space group P4/mmm (No. 123)
Inequivalent atoms, fractional coordinates:
Ta 0.000 0.000 0.000
Ti 0.000 0.500 0.500
Cd 0.500 0.500 0.000
N 0.000 0.000 0.500

- Volume: 15.12 A^3/atom
- E_form (uncorrected): -0.616 eV/atom

[2]
Here is crystalline Y2TaCdN at its relaxed geometry from Alexandria. Energies are from GGA-PBE.

Cell lengths 4.948, 4.948, 4.173 Å; angles 90.00, 90.00, 90.00 degrees
Space group P4/mmm (No. 123)
Inequivalent atoms, fractional coordinates:
Y 0.000 0.500 0.000
Ta 0.000 0.000 0.500
Cd 0.500 0.500 0.500
N 0.000 0.000 0.000

- Volume: 20.43 A^3/atom
- E_form (uncorrected): -0.630 eV/atom

[3]
Here is crystalline Zr2TaCdN at its relaxed geometry from Alexandria. Energies are from GGA-PBE.

Cell lengths 4.637, 4.637, 4.129 Å; angles 90.00, 90.00, 90.00 degrees
Space group P4/mmm (No. 123)
Inequivalent atoms, fractional coordinates:
Zr 0.000 0.500 0.000
Ta 0.000 0.000 0.500
Cd 0.500 0.500 0.500
N 0.000 0.000 0.000

- Volume: 17.76 A^3/atom
- E_form (uncorrected): -0.644 eV/atom

[4]
Here is crystalline Tb3CdN at its relaxed geometry from Alexandria. Energies are from GGA-PBE.

Cell lengths 4.858, 4.858, 4.858 Å; angles 90.00, 90.00, 90.00 degrees
Space group Pm-3m (No. 221)
Inequivalent atoms, fractional coordinates:
Tb 0.000 0.000 0.500
Cd 0.500 0.500 0.500
N 0.000 0.000 0.000

- Volume: 22.93 A^3/atom
- E_form (uncorrected): -0.833 eV/atom

[5]
Here is crystalline TbCdN at its relaxed geometry from Alexandria. Energies are from GGA-PBE.

Cell lengths 12.241, 3.506, 6.766 Å; angles 90.00, 119.16, 90.00 degrees
Space group C2/m (No. 12)
Inequivalent atoms, fractional coordinates:
Tb 0.247 0.000 0.210
Cd 0.014 0.500 0.240
N 0.148 0.000 0.824

- Volume: 21.13 A^3/atom
- E_form (uncorrected): -0.596 eV/atom

[6]
Here is crystalline Tb3Cd2N at its relaxed geometry from Alexandria. Energies are from GGA-PBE.

Cell lengths 4.911, 15.883, 3.491 Å; angles 90.00, 90.00, 90.00 degrees
Space group Cmmm (No. 65)
Inequivalent atoms, fractional coordinates:
Tb 0.000 0.000 0.000
Tb 0.000 0.392 0.500
Cd 0.000 0.200 0.000
N 0.000 0.500 0.000

- Volume: 22.69 A^3/atom
- E_form (uncorrected): -0.722 eV/atom

[7]
Here is crystalline Tb2ThCdN at its relaxed geometry from Alexandria. Energies are from GGA-PBE.

Cell lengths 4.901, 4.901, 4.929 Å; angles 90.00, 90.00, 90.00 degrees
Space group P4/mmm (No. 123)
Inequivalent atoms, fractional coordinates:
Tb 0.000 0.500 0.000
Th 0.000 0.000 0.500
Cd 0.500 0.500 0.500
N 0.000 0.000 0.000

- Volume: 23.68 A^3/atom
- E_form (uncorrected): -0.773 eV/atom

[8]
Here is crystalline TbTm2CdN at its relaxed geometry from Alexandria. Energies are from GGA-PBE.

Cell lengths 4.744, 4.744, 4.860 Å; angles 90.00, 90.00, 90.00 degrees
Space group P4/mmm (No. 123)
Inequivalent atoms, fractional coordinates:
Tb 0.000 0.000 0.000
Tm 0.000 0.500 0.500
Cd 0.500 0.500 0.000
N 0.000 0.000 0.500

- Volume: 21.87 A^3/atom
- E_form (uncorrected): -0.868 eV/atom

[9]
Here is crystalline Tb2TmCdN at its relaxed geometry from Alexandria. Energies are from GGA-PBE.

Cell lengths 4.869, 4.869, 4.724 Å; angles 90.00, 90.00, 90.00 degrees
Space group P4/mmm (No. 123)
Inequivalent atoms, fractional coordinates:
Tb 0.000 0.500 0.000
Tm 0.000 0.000 0.500
Cd 0.500 0.500 0.500
N 0.000 0.000 0.000

- Volume: 22.40 A^3/atom
- E_form (uncorrected): -0.850 eV/atom

[10]
Here is crystalline TbY2CdN at its relaxed geometry from Alexandria. Energies are from GGA-PBE.

Cell lengths 4.838, 4.838, 4.865 Å; angles 90.00, 90.00, 90.00 degrees
Space group P4/mmm (No. 123)
Inequivalent atoms, fractional coordinates:
Tb 0.000 0.000 0.000
Y 0.000 0.500 0.500
Cd 0.500 0.500 0.000
N 0.000 0.000 0.500

- Volume: 22.77 A^3/atom
- E_form (uncorrected): -0.855 eV/atom

[11]
Here is crystalline CdTcN2 at its relaxed geometry from Alexandria. Energies are from GGA-PBE.

Cell lengths 5.607, 5.607, 5.607 Å; angles 90.00, 90.00, 90.00 degrees
Space group Fm-3m (No. 225)
Inequivalent atoms, fractional coordinates:
Cd 0.000 0.000 0.000
Tc 0.000 0.000 0.500
N 0.250 0.250 0.250

- Volume: 11.02 A^3/atom
- E_form (uncorrected): 1.297 eV/atom
- Excess energy over the best structure of this formula in the dataset: 358 kJ/mol of formula units

[12]
Here is crystalline CdTc2N at its relaxed geometry from Alexandria. Energies are from GGA-PBE.

Cell lengths 6.497, 6.497, 5.555 Å; angles 90.00, 90.00, 90.00 degrees
Space group I-42d (No. 122)
Inequivalent atoms, fractional coordinates:
Cd 0.000 0.000 0.000
Tc 0.141 0.250 0.625
N 0.000 0.000 0.500

- Volume: 14.66 A^3/atom
- E_form (uncorrected): 0.425 eV/atom
- Excess energy over the best structure of this formula in the dataset: 0 kJ/mol of formula units

Number 1: total magnetization 0.0000 μB per atom. Number 2: total magnetization 0.1859 μB per atom. Number 3: total magnetization 0.0000 μB per atom. Number 4: total magnetization 0.0000 μB per atom. Number 5: total magnetization 0.0000 μB per atom. Number 6: total magnetization 0.0000 μB per atom. Number 7: total magnetization 0.0000 μB per atom. Number 8: total magnetization 0.0000 μB per atom. Number 9: total magnetization 0.0000 μB per atom. Number 10: total magnetization 0.0000 μB per atom. Number 11: total magnetization 0.2453 μB per atom. Number 12: total magnetization 0.1702 μB per atom.